(1)
{"formula": "Mg2NiHRu", "functional": "PBE", "state": "relaxed", "lattice_angstrom": [[-2.861, 2.713, -1.766], [1.577, -0.890, -3.922], [-2.215, -2.540, -0.314]], "species": ["Ru", "Mg", "Mg", "H", "Ni"], "frac_coords": [[0.000, 0.000, 0.500], [0.000, 0.500, 0.000], [0.500, 0.000, 0.000], [0.000, 0.000, 0.000], [0.500, 0.500, 0.500]], "space_group": "P4/mmm", "e_tot_ev_per_cell": -21.89, "crystal_system": "tetragonal"}



(2)
{"formula": "MgNi2HRu", "functional": "PBE", "state": "relaxed", "lattice_angstrom": [[3.762, 0.000, 0.000], [0.000, 3.762, 0.000], [0.000, 0.000, 3.845]], "species": ["Ru", "Mg", "H", "Ni", "Ni"], "frac_coords": [[0.000, 0.000, 0.500], [0.500, 0.500, 0.500], [0.000, 0.000, 0.000], [0.000, 0.500, 0.000], [0.500, 0.000, 0.000]], "space_group": "P4/mmm", "e_tot_ev_per_cell": -25.78, "crystal_system": "tetragonal"}



(3)
{"formula": "Mg2NiSbH", "functional": "PBE", "state": "relaxed", "lattice_angstrom": [[4.404, 0.000, 0.000], [0.000, 4.404, 0.000], [0.000, 0.000, 3.891]], "species": ["Sb", "Mg", "Mg", "H", "Ni"], "frac_coords": [[0.500, 0.500, 0.500], [0.000, 0.500, 0.000], [0.500, 0.000, 0.000], [0.000, 0.000, 0.000], [0.000, 0.000, 0.500]], "space_group": "P4/mmm", "e_tot_ev_per_cell": -16.96, "crystal_system": "tetragonal"}



(4)
{"formula": "Mg2SiNi6H", "functional": "PBE", "state": "relaxed", "lattice_angstrom": [[5.098, 0.004, 0.003], [-0.010, 6.049, 0.679], [2.538, 3.504, 4.298]], "species": ["Mg", "Mg", "Si", "Ni", "Ni", "Ni", "Ni", "Ni", "Ni", "H"], "frac_coords": [[0.717, 0.282, 0.567], [0.283, 0.718, 0.433], [0.000, 0.000, 0.000], [0.270, 0.219, 0.461], [0.776, 0.727, 0.955], [0.269, 0.727, 0.956], [0.731, 0.273, 0.044], [0.224, 0.273, 0.045], [0.730, 0.781, 0.539], [0.500, 0.500, 0.000]], "space_group": "C2/m", "e_tot_ev_per_cell": -48.98, "crystal_system": "monoclinic"}